1.
Gd3Mg5Se12: optimized geometry, PBE.

Calculated values
The value obtained for the spin magnetization is 0.96 μB/atom. The total DFT energy (no corrections) comes out at -5.685 eV/atom. The raw formation energy is -21.67 eV/f.u.

Cell lengths 14.028, 14.028, 14.028 Å; angles 109.47, 109.47, 109.47 degrees
Last column: magnetic moment on the atom in μB.
Atoms (fractional coordinates):
Mg (0.125, 0.375, 0.250)  0.00
Mg (0.000, 0.500, 0.000)  0.00
Mg (0.000, 0.000, 0.000)  0.00
Mg (0.375, 0.250, 0.125)  0.00
Mg (0.500, 0.000, 0.500)  0.00
Mg (0.500, 0.500, 0.000)  0.00
Mg (0.125, 0.750, 0.375)  0.00
Mg (0.750, 0.125, 0.875)  0.00
Mg (0.750, 0.625, 0.375)  0.00
Mg (0.375, 0.125, 0.750)  0.00
Mg (0.625, 0.875, 0.250)  0.00
Mg (0.500, 0.500, 0.500)  0.00
Mg (0.500, 0.000, 0.000)  0.00
Mg (0.000, 0.000, 0.500)  0.00
Mg (0.250, 0.375, 0.625)  0.00
Mg (0.250, 0.875, 0.125)  0.00
Mg (0.000, 0.500, 0.500)  0.00
Mg (0.875, 0.250, 0.625)  0.00
Mg (0.625, 0.750, 0.875)  0.00
Mg (0.875, 0.625, 0.750)  0.00
Gd (0.750, 0.375, 0.125)  6.91
Gd (0.875, 0.750, 0.125)  6.91
Gd (0.375, 0.750, 0.625)  6.91
Gd (0.250, 0.125, 0.375)  6.91
Gd (0.875, 0.125, 0.250)  6.91
Gd (0.375, 0.625, 0.250)  6.91
Gd (0.625, 0.375, 0.750)  6.91
Gd (0.125, 0.875, 0.750)  6.91
Gd (0.750, 0.875, 0.625)  6.91
Gd (0.625, 0.250, 0.375)  6.91
Gd (0.125, 0.250, 0.875)  6.91
Gd (0.250, 0.625, 0.875)  6.91
Se (0.724, 0.129, 0.046)  -0.10
Se (0.323, 0.546, 0.418)  -0.10
Se (0.954, 0.371, 0.276)  -0.10
Se (0.546, 0.224, 0.129)  -0.10
Se (0.595, 0.724, 0.677)  -0.10
Se (0.954, 0.582, 0.177)  -0.10
Se (0.323, 0.776, 0.405)  -0.10
Se (0.082, 0.905, 0.129)  -0.10
Se (0.582, 0.954, 0.677)  -0.10
Se (0.724, 0.595, 0.177)  -0.10
Se (0.776, 0.454, 0.371)  -0.10
Se (0.823, 0.918, 0.046)  -0.10
Se (0.129, 0.724, 0.546)  -0.10
Se (0.371, 0.418, 0.095)  -0.10
Se (0.095, 0.918, 0.371)  -0.10
Se (0.405, 0.129, 0.582)  -0.10
Se (0.095, 0.177, 0.224)  -0.10
Se (0.454, 0.677, 0.082)  -0.10
Se (0.823, 0.905, 0.276)  -0.10
Se (0.129, 0.405, 0.082)  -0.10
Se (0.371, 0.954, 0.776)  -0.10
Se (0.582, 0.629, 0.405)  -0.10
Se (0.918, 0.823, 0.546)  -0.10
Se (0.776, 0.323, 0.905)  -0.10
Se (0.418, 0.371, 0.595)  -0.10
Se (0.082, 0.177, 0.454)  -0.10
Se (0.224, 0.677, 0.095)  -0.10
Se (0.177, 0.095, 0.724)  -0.10
Se (0.629, 0.046, 0.224)  -0.10
Se (0.871, 0.595, 0.918)  -0.10
Se (0.546, 0.323, 0.918)  -0.10
Se (0.595, 0.871, 0.418)  -0.10
Se (0.905, 0.823, 0.776)  -0.10
Se (0.905, 0.082, 0.629)  -0.10
Se (0.871, 0.276, 0.454)  -0.10
Se (0.177, 0.082, 0.954)  -0.10
Se (0.629, 0.582, 0.905)  -0.10
Se (0.418, 0.046, 0.323)  -0.10
Se (0.276, 0.405, 0.823)  -0.10
Se (0.224, 0.546, 0.629)  -0.10
Se (0.918, 0.095, 0.871)  -0.10
Se (0.677, 0.224, 0.595)  -0.10
Se (0.454, 0.776, 0.871)  -0.10
Se (0.046, 0.418, 0.823)  -0.10
Se (0.405, 0.276, 0.323)  -0.10
Se (0.046, 0.629, 0.724)  -0.10
Se (0.677, 0.454, 0.582)  -0.10
Se (0.276, 0.871, 0.954)  -0.10



2.
InSb2Se: optimized geometry, PBE.

Calculated values
The value obtained for the spin magnetization is 0.00 μB/atom. The total DFT energy (no corrections) comes out at -3.557 eV/atom. The raw formation energy is 0.24 eV/f.u.

Cell lengths 7.574, 7.574, 7.574 Å; angles 32.38, 32.38, 32.38 degrees
Atoms (fractional coordinates):
In (0.750, 0.750, 0.750)
Sb (0.999, 0.999, 0.999)
Sb (0.501, 0.501, 0.501)
Se (0.250, 0.250, 0.250)



3.
Ba2CaSiPb: optimized geometry, PBE.

Calculated values
The value obtained for the spin magnetization is 0.00 μB/atom. The total DFT energy (no corrections) comes out at -2.966 eV/atom. The raw formation energy is 0.15 eV/f.u.

Cell lengths 6.391, 5.440, 6.391 Å; angles 90.00, 90.00, 90.00 degrees
Atoms (fractional coordinates):
Pb (0.000, 0.500, 0.000)
Ca (0.500, 0.500, 0.500)
Si (0.000, 0.000, 0.000)
Ba (0.000, 0.000, 0.500)
Ba (0.500, 0.000, 0.000)



4.
Ac2CdIn6Rh: optimized geometry, PBE.

Calculated values
The value obtained for the spin magnetization is 0.00 μB/atom. The calculated formation energy is -0.273 eV/atom. The total DFT energy (no corrections) comes out at -3.565 eV/atom.

Cell lengths 10.228, 5.961, 7.415 Å; angles 67.25, 47.35, 91.23 degrees
Atoms (fractional coordinates):
Ac (0.248, 0.747, 0.508)
Ac (0.752, 0.253, 0.492)
Cd (0.500, 0.500, 0.000)
In (0.270, 0.786, 0.932)
In (0.713, 0.706, 0.100)
In (0.078, 0.233, 0.516)
In (0.730, 0.214, 0.068)
In (0.287, 0.294, 0.900)
In (0.922, 0.767, 0.484)
Rh (0.000, 0.000, 0.000)